Density functional theory data (PBE-GGA) for a relaxed structure of UCd2CuS6.

Symmetry: P1 (1)
Formation energy without anion corrections (eV per atom): -0.579
Total energy (eV per atom): -4.776
Calculated volume (Å³ per cell): 219.7

Unit cell a=6.6971 b=6.3154 c=7.1861 alpha=63.44 beta=59.15 gamma=60.77
With the nearest neighbours (Å) after each atom.
Atoms (fractional coordinates):
S: 0.9642 0.5760 0.2440  1 Cu 2.36, 1 U 2.61
S: 0.4407 0.6843 0.7802  1 Cu 2.41, 1 Cd 2.62, 1 U 2.63
S: 0.2162 0.9600 0.2518  1 Cu 2.34, 1 U 2.58
S: 0.0639 0.4537 0.7447  1 U 2.50, 1 Cd 2.58
S: 0.5893 0.1983 0.2801  1 U 2.56, 1 Cu 2.57, 2 Cd 2.61-2.78
S: 0.6912 0.0869 0.7819  1 Cu 2.38, 1 U 2.57, 1 Cd 2.63
Cd: 0.0103 0.0191 0.9299  5 S 2.58-2.78
Cd: 0.5103 0.5445 0.4384  5 S 2.61-2.81
Cu: 0.3454 0.3110 0.0465  5 S 2.34-2.57
U: 0.8301 0.8279 0.5177  6 S 2.50-2.63